DFT (PBE) results for a geometry-optimized CaNb2InTe structure.

Results
Relative energy among the computed polymorphs (meV/atom): 457
Crystal system: tetragonal
Energy relative to the elements, uncorrected (eV per atom): 1.244
Total magnetization (Bohr magnetons per cell): 2.55

CIF file:
```
data_CaNb2InTe
_chemical_formula_sum 'Ca1 Nb2 In1 Te1'
_symmetry_space_group_name_H-M 'P 1'
_symmetry_Int_Tables_number 1
_cell_length_a 5.211
_cell_length_b 5.211
_cell_length_c 5.789
_cell_angle_alpha 90.00
_cell_angle_beta 90.00
_cell_angle_gamma 90.00
loop_
_symmetry_equiv_pos_as_xyz
'x,y,z'
loop_
_atom_site_label
_atom_site_fract_x
_atom_site_fract_y
_atom_site_fract_z
Ca1 0.000 0.000 0.000
Nb1 0.000 0.500 0.500
Nb2 0.500 0.000 0.500
In1 0.500 0.500 0.500
Te1 0.500 0.500 0.000
```